[1]
DFT (GGA-PBE) results for crystalline Li2TmCd2Hg2 at its relaxed geometry.

Calculated values
The value obtained for the total magnetization is 0.0 μB/f.u. For the formation energy from the elements, the calculation gives -0.308 eV per atom. The value obtained for the total DFT energy (no corrections) is -1.841 eV/atom. Its crystal system is monoclinic.

Unit cell a=4.9026 b=4.8618 c=7.7024 alpha=108.84 beta=90.00 gamma=120.28
Fractional positions:
1 Li 0.1506 0.3013 0.4510
2 Li 0.8494 0.6987 0.5490
3 Tm 0.0000 0.0000 0.0000
4 Cd 0.5696 0.1392 0.7089
5 Cd 0.4304 0.8608 0.2911
6 Hg 0.7250 0.4500 0.1744
7 Hg 0.2750 0.5500 0.8256

[2]
DFT (GGA-PBE) results for crystalline LiCdHg2W at its relaxed geometry.

Calculated values
The value obtained for the total magnetization is 4.0 μB/f.u. For the formation energy from the elements, the calculation gives 1.329 eV per atom. The value obtained for the total DFT energy (no corrections) is -1.948 eV/atom. Its crystal system is tetragonal.

Unit cell a=5.4483 b=5.4378 c=5.4483 alpha=90.00 beta=90.00 gamma=90.00
Each line ends with the local moment (μB).
Fractional positions:
1 Li 0.5000 0.5000 0.5000  -0.01
2 Hg 0.0000 0.0000 0.5000  -0.01
3 Hg 0.5000 0.0000 0.0000  0.01
4 W 0.0000 0.5000 0.0000  2.97
5 Cd 0.0000 0.0000 0.0000  0.02

[3]
DFT (GGA-PBE) results for crystalline LiYCd2Hg4 at its relaxed geometry.

Calculated values
The value obtained for the total magnetization is 0.0 μB/f.u. For the formation energy from the elements, the calculation gives -0.277 eV per atom. The value obtained for the total DFT energy (no corrections) is -1.704 eV/atom. Its crystal system is trigonal.

Unit cell a=4.9795 b=4.9795 c=8.8206 alpha=73.60 beta=73.60 gamma=60.00
Fractional positions:
1 Li 0.5000 0.5000 0.5000
2 Y 0.0000 0.0000 0.0000
3 Cd 0.7488 0.7488 0.7536
4 Cd 0.2512 0.2512 0.2464
5 Hg 0.3819 0.3819 0.8543
6 Hg 0.8695 0.8695 0.3916
7 Hg 0.1305 0.1305 0.6084
8 Hg 0.6181 0.6181 0.1457

[4]
DFT (GGA-PBE) results for crystalline Li2YCdHg2 at its relaxed geometry.

Calculated values
The value obtained for the total magnetization is 0.0 μB/f.u. For the formation energy from the elements, the calculation gives -0.376 eV per atom. The value obtained for the total DFT energy (no corrections) is -2.344 eV/atom. Its crystal system is trigonal.

Unit cell a=4.7487 b=4.7487 c=6.5111 alpha=90.00 beta=90.00 gamma=120.00
Fractional positions:
1 Li 0.3333 0.6667 0.6673
2 Li 0.6667 0.3333 0.3327
3 Y 0.0000 0.0000 0.0000
4 Cd 0.0000 0.0000 0.5000
5 Hg 0.3333 0.6667 0.2312
6 Hg 0.6667 0.3333 0.7688

[5]
DFT (GGA-PBE) results for crystalline Li2YCd2Hg2 at its relaxed geometry.

Calculated values
The value obtained for the total magnetization is 0.0 μB/f.u. For the formation energy from the elements, the calculation gives -0.330 eV per atom. The value obtained for the total DFT energy (no corrections) is -2.148 eV/atom. Its crystal system is monoclinic.

Unit cell a=4.9139 b=4.8918 c=7.7472 alpha=108.66 beta=90.00 gamma=120.15
Fractional positions:
1 Li 0.1499 0.2999 0.4494
2 Li 0.8501 0.7001 0.5506
3 Y 0.0000 0.0000 0.0000
4 Cd 0.5696 0.1392 0.7093
5 Cd 0.4304 0.8608 0.2907
6 Hg 0.7267 0.4534 0.1802
7 Hg 0.2733 0.5466 0.8198

[6]
DFT (GGA-PBE) results for crystalline Li5ZnCd2Hg2 at its relaxed geometry.

Calculated values
The value obtained for the total magnetization is 0.0 μB/f.u. For the formation energy from the elements, the calculation gives -0.177 eV per atom. The value obtained for the total DFT energy (no corrections) is -1.504 eV/atom. Its crystal system is tetragonal.

Unit cell a=3.2446 b=10.8994 c=10.8994 alpha=90.00 beta=90.00 gamma=90.00
Fractional positions:
1 Li 0.5000 0.1951 0.0162
2 Li 0.5000 0.8049 0.9838
3 Li 0.5000 0.0162 0.8049
4 Li 0.5000 0.6951 0.4838
5 Li 0.5000 0.9838 0.1951
6 Li 0.5000 0.3049 0.5162
7 Li 0.5000 0.5162 0.6951
8 Li 0.5000 0.4838 0.3049
9 Li 0.5000 0.5000 0.0000
10 Li 0.5000 0.0000 0.5000
11 Zn 0.0000 0.0000 0.0000
12 Zn 0.0000 0.5000 0.5000
13 Cd 0.0000 0.6656 0.1656
14 Cd 0.0000 0.3344 0.8344
15 Cd 0.0000 0.1656 0.3344
16 Cd 0.0000 0.8344 0.6656
17 Hg 0.0000 0.1452 0.6452
18 Hg 0.0000 0.8548 0.3548
19 Hg 0.0000 0.6452 0.8548
20 Hg 0.0000 0.3548 0.1452